Record 1
Here is a relaxed structure of La2Ta2F from OQMD. Energies are from PBE-GGA.

a b c (Å): 19.124 4.708 6.032
angles (deg): 90.00 90.00 90.00
Space group Cmc2_1 (No. 36)
Asymmetric unit:
La: 0.117 0.119 0.000 x8
Ta: 0.223 0.498 0.749 x8
F: 0.000 0.275 0.002 x4

---

Record 2
Here is a relaxed structure of La2TbF8 from OQMD. Energies are from PBE-GGA.

a b c (Å): 5.121 5.121 11.934
angles (deg): 90.00 90.00 90.00
Space group I-4 (No. 82)
Asymmetric unit:
La: 0.000 0.000 0.171 x4
Tb: 0.000 0.000 0.500 x2
F: 0.089 0.244 0.337 x8
F: 0.141 0.702 0.955 x8

---

One value per record, in order, for calculated total energy: -37.9 -71.9 eV per formula unit.